Ac2NdY | the Alexandria database | GGA-PBE | relaxed; crystal system = trigonal; DFT formation energy = 0.05 eV/atom; energy relative to the lowest polymorph listed for this composition = 15 meV/atom; total moment = 0.0 μB/cell
1.0
-1.617 1.410 3.182
-2.920 -1.861 1.655
6.404 -6.494 8.447
Ac Nd Y
2 1 1
Cartesian
0.442 -1.716 3.299
4.447 -4.926 6.757
0.956 -3.490 6.661
3.360 -6.779 11.654